Here is crystalline InFe2Ru at its relaxed geometry from Alexandria. Energies are from PBE-GGA.

## Properties
symmetry	Cmmm
DFT formation energy	0.41	eV per atom
final energy	-6.821	eV per atom
total magnetic moment	6.4	μB per cell
DOS at the Fermi energy	4.0	states/eV/f.u.

abc: 2.754 2.754 8.410
angles: 90.00 90.00 108.08
Fractional positions:
In 0.000 0.000 0.000
Fe 0.500 0.500 0.267
Fe 0.500 0.500 0.733
Ru 0.000 0.000 0.500